A plane-wave DFT calculation with GGA-PBE was carried out for a relaxed LaPmH4 crystal.

Properties
Electronic total energy in eV/atom: -4.507
DOS(E_F) in states/eV per cell: 1.9
Volume in Å³ per cell: 84

Unit cell a=3.8994 b=3.8994 c=5.5342 alpha=90.00 beta=90.00 gamma=90.00
Sites, in units of the cell vectors:
H  0.0000  0.5000  0.7383
H  0.5000  0.0000  0.7383
H  0.0000  0.5000  0.2617
La  0.0000  0.0000  0.0000
Pm  0.5000  0.5000  0.5000
H  0.5000  0.0000  0.2617


A plane-wave DFT calculation with GGA-PBE was carried out for a relaxed Cs2P2Rh crystal.

Properties
Formation energy in meV/atom: -124
DOS(E_F) in states/eV per cell: 4.4
Volume in Å³ per cell: 246

Unit cell a=6.3950 b=6.3950 c=6.0182 alpha=90.00 beta=90.00 gamma=90.00
Sites, in units of the cell vectors:
P  0.8722  0.6278  0.0000
Cs  0.3158  0.1842  0.5000
Cs  0.8158  0.3158  0.5000
Rh  0.0000  0.0000  0.0000
Cs  0.1842  0.6842  0.5000
Cs  0.6842  0.8158  0.5000
P  0.1278  0.3722  0.0000
P  0.6278  0.1278  0.0000
P  0.3722  0.8722  0.0000
Rh  0.5000  0.5000  0.0000